RbCa2GaIr after structural relaxation. Source: Alexandria via LeMat-Bulk, functional PBE.

For the volume, the calculation gives 31.90 A^3/atom. The theoretical density is 4.5 g/cm³. Its density of states at the Fermi level is 0.496 states/eV per atom. Its formation energy is -199 meV per atom.

It has space group P4/mmm (No. 123), with a = 5.650 Å, b = 5.650 Å, c = 4.996 Å, α = 90.00°, β = 90.00° and γ = 90.00°. Symmetry generates all atoms from Rb at (0.000, 0.000, 0.000), Ca at (0.000, 0.500, 0.500), Ga at (0.500, 0.500, 0.000) and Ir at (0.500, 0.500, 0.500).

Zr2Sc after structural relaxation. Source: Alexandria via LeMat-Bulk, functional PBE.

For the volume, the calculation gives 23.52 A^3/atom. The theoretical density is 5.4 g/cm³. Its density of states at the Fermi level is 1.077 states/eV per atom. Its formation energy is -19 meV per atom.

It has space group C2/m (No. 12), with a = 11.776 Å, b = 3.236 Å, c = 7.611 Å, α = 90.00°, β = 103.30° and γ = 90.00°. Symmetry generates all atoms from Zr at (0.024, 0.000, 0.305), Zr at (0.139, 0.500, 0.028) and Sc at (0.196, 0.500, 0.643).

Pr5ErIn5 after structural relaxation. Source: Alexandria via LeMat-Bulk, functional PBE.

For the volume, the calculation gives 31.55 A^3/atom. The theoretical density is 6.9 g/cm³. Its density of states at the Fermi level is 1.074 states/eV per atom. Its formation energy is -246 meV per atom.

It has space group C2/m (No. 12), with a = 18.134 Å, b = 5.855 Å, c = 7.097 Å, α = 90.00°, β = 112.88° and γ = 90.00°. Symmetry generates all atoms from Pr at (0.000, 0.000, 0.000), Pr at (0.139, 0.500, 0.141), Pr at (0.190, 0.500, 0.691), Er at (0.000, 0.000, 0.500), In at (0.000, 0.500, 0.500), In at (0.162, 0.000, 0.442) and In at (0.162, 0.000, 0.882).

TbAsIr after structural relaxation. Source: Alexandria via LeMat-Bulk, functional PBE.

For the volume, the calculation gives 23.77 A^3/atom. The theoretical density is 9.9 g/cm³. Its density of states at the Fermi level is 0.406 states/eV per atom. Its formation energy is -629 meV per atom.

It has space group C2/m (No. 12), with a = 7.510 Å, b = 4.335 Å, c = 9.108 Å, α = 90.00°, β = 105.86° and γ = 90.00°. Symmetry generates all atoms from Tb at (0.067, 0.000, 0.203), As at (0.182, 0.000, 0.545) and Ir at (0.164, 0.500, 0.993).